(1)
Material: Pm7Ge2Ru
Method: DFT, PBE-GGA
State: optimized geometry

The value obtained for the raw total energy is -4.87 eV/atom. Its size of the total moment is 0.00 μB per formula unit.

a = 7.721 Å, b = 7.721 Å, c = 7.721 Å
α = 60.00°, β = 60.00°, γ = 60.00°
Positions (direct):
Pm  0.757  0.243  0.243
Pm  0.243  0.757  0.243
Pm  0.243  0.757  0.757
Ge  0.250  0.250  0.250
Pm  0.243  0.243  0.757
Ru  0.000  0.000  0.000
Ge  0.750  0.750  0.750
Pm  0.500  0.500  0.500
Pm  0.757  0.757  0.243
Pm  0.757  0.243  0.757

***

(2)
Material: Pm2GeRu2
Method: DFT, PBE-GGA
State: optimized geometry

The value obtained for the raw total energy is -7.00 eV/atom. Its size of the total moment is 0.00 μB per formula unit.

a = 5.632 Å, b = 5.728 Å, c = 7.846 Å
α = 102.38°, β = 90.00°, γ = 119.45°
Positions (direct):
Ru  0.012  0.722  0.989
Pm  0.508  0.713  0.856
Pm  0.205  0.713  0.356
Ge  0.888  0.000  0.250
Ge  0.112  0.000  0.750
Pm  0.795  0.287  0.644
Pm  0.492  0.287  0.144
Ru  0.290  0.278  0.511
Ru  0.710  0.722  0.489
Ru  0.988  0.278  0.011

***

(3)
Material: Pm4Ge2Ru
Method: DFT, PBE-GGA
State: optimized geometry

Its energy above the most stable polymorph in this dataset is 206 meV per atom. The value obtained for the raw total energy is -5.62 eV/atom. Its size of the total moment is 0.00 μB per formula unit.

a = 5.093 Å, b = 5.093 Å, c = 8.763 Å
α = 106.89°, β = 106.89°, γ = 90.00°
Positions (direct):
Pm  0.183  0.183  0.366
Ge  0.367  0.367  0.734
Ge  0.633  0.633  0.266
Pm  0.000  0.500  0.000
Pm  0.817  0.817  0.634
Pm  0.500  0.000  0.000
Ru  0.000  0.000  0.000

***

(4)
Material: Pm12GeRu7
Method: DFT, PBE-GGA
State: optimized geometry

The value obtained for the raw total energy is -6.52 eV/atom. Its size of the total moment is 0.00 μB per formula unit.

a = 8.963 Å, b = 8.963 Å, c = 8.963 Å
α = 110.00°, β = 110.00°, γ = 110.00°
Positions (direct):
Ru  0.271  0.031  0.928
Ru  0.500  0.500  0.500
Ru  0.928  0.271  0.031
Ru  0.969  0.072  0.729
Pm  0.693  0.608  0.891
Pm  0.608  0.891  0.693
Pm  0.346  0.736  0.884
Pm  0.891  0.693  0.608
Pm  0.392  0.109  0.307
Ru  0.072  0.729  0.969
Pm  0.307  0.392  0.109
Pm  0.884  0.346  0.736
Pm  0.736  0.884  0.346
Pm  0.109  0.307  0.392
Pm  0.654  0.264  0.116
Ge  0.000  0.000  0.000
Ru  0.729  0.969  0.072
Pm  0.264  0.116  0.654
Ru  0.031  0.928  0.271
Pm  0.116  0.654  0.264

***

(5)
Material: Pm12Ge5Ru2
Method: DFT, PBE-GGA
State: optimized geometry

The value obtained for the raw total energy is -5.63 eV/atom. Its size of the total moment is 0.00 μB per formula unit.

a = 7.548 Å, b = 9.245 Å, c = 9.514 Å
α = 104.61°, β = 90.00°, γ = 114.09°
Positions (direct):
Pm  0.497  0.995  0.754
Ge  0.311  0.623  0.171
Pm  0.006  0.012  0.815
Ge  0.303  0.606  0.636
Ge  0.000  0.000  0.500
Pm  0.096  0.701  0.427
Pm  0.901  0.333  0.087
Ru  0.292  0.000  0.000
Pm  0.099  0.667  0.913
Pm  0.568  0.667  0.913
Ru  0.708  0.000  0.000
Ge  0.697  0.394  0.364
Ge  0.689  0.377  0.829
Pm  0.503  0.005  0.246
Pm  0.904  0.299  0.573
Pm  0.395  0.299  0.573
Pm  0.605  0.701  0.427
Pm  0.994  0.988  0.185
Pm  0.432  0.333  0.087

***

(6)
Material: Pm2Ge3Ru
Method: DFT, PBE-GGA
State: optimized geometry

Its energy above the most stable polymorph in this dataset is 0 meV per atom. The value obtained for the raw total energy is -6.09 eV/atom. Its size of the total moment is 0.00 μB per formula unit.

a = 5.961 Å, b = 5.961 Å, c = 8.457 Å
α = 109.72°, β = 109.72°, γ = 92.43°
Positions (direct):
Pm  0.250  0.750  0.500
Pm  0.257  0.257  0.000
Pm  0.743  0.743  0.000
Ge  0.830  0.830  0.661
Ge  0.661  0.169  0.830
Ge  0.169  0.661  0.830
Ge  0.831  0.339  0.170
Ge  0.339  0.831  0.170
Ru  0.666  0.666  0.332
Pm  0.750  0.250  0.500
Ru  0.334  0.334  0.668
Ge  0.170  0.170  0.339